[1]
This record from Alexandria describes Sm3Hf after structural relaxation. The functional is GGA-PBE.

## Properties
ρ: 8.8 g/cm3

Cell: 4.9249 4.9249 4.9249 Å, 90.00 90.00 90.00°
Fractional positions:
1 Sm 0.0000 0.0000 0.5000
2 Sm 0.0000 0.5000 0.0000
3 Sm 0.5000 0.0000 0.0000
4 Hf 0.5000 0.5000 0.5000

***

[2]
This record from Alexandria describes KBe2Pt after structural relaxation. The functional is GGA-PBE.

## Properties
ρ: 5.2 g/cm3

Cell: 3.9700 3.9700 6.3186 Å, 107.78 107.78 59.98°
Fractional positions:
1 K 0.0000 0.0000 0.0000
2 Be 0.1737 0.1737 0.5212
3 Be 0.8263 0.8263 0.4788
4 Pt 0.5000 0.5000 0.5000

***

The following magnetization values (in μB per cell) correspond, in order, to the records above: 0.00, 0.00.
The following distance to the lowest polymorph of the same formula values (in eV per formula unit) correspond, in order, to the records above: 0.00, 0.00.
The following calculated volume values (in A^3/atom) correspond, in order, to the records above: 29.86, 20.17.